# InWNF2 GGA+U relaxed
data_InWNF2
_chemical_formula_sum 'In1 W1 N1 F2'
_space_group_name_H-M_alt 'P 4/m m m'
_space_group_IT_number 123
_space_group_name_Hall '-P 4 2'
_cell_length_a 4.384
_cell_length_b 4.384
_cell_length_c 4.052
_cell_angle_alpha 90.00
_cell_angle_beta 90.00
_cell_angle_gamma 90.00
loop_
_atom_site_label
_atom_site_type_symbol
_atom_site_fract_x
_atom_site_fract_y
_atom_site_fract_z
_atom_site_occupancy
In1 In 0.000 0.000 0.000 1
W1 W 0.500 0.500 0.500 1
N1 N 0.500 0.500 0.000 1
F1 F 0.000 0.500 0.500 1
# * density: 7.48 g/cm3
# * magnetic moment: 2.0 μB/f.u.
# * calculated volume: 77.87 Å³ per cell
# * excess energy over the best structure of this formula in the dataset: 0.0000 eV/atom